[1]
VASP calculation (PBE) on a relaxed YTc2Se crystal.

Values from the calculation:
Energy relative to the elements, uncorrected ... 0.23 eV per atom
D(E_F) ... 0.91 states/eV per atom
Energy ... -29.776 eV/cell
Mass density ... 8.1 g/cm³

CIF file:
```
data_YTc2Se
_symmetry_space_group_name_H-M 'P m m m'
_symmetry_Int_Tables_number 47
_cell_length_a 3.1541
_cell_length_b 4.3234
_cell_length_c 5.5014
_cell_angle_alpha 90.00
_cell_angle_beta 90.00
_cell_angle_gamma 90.00
loop_
_symmetry_equiv_pos_as_xyz
'x,y,z'
'-x,-y,-z'
'-x,-y,z'
'x,y,-z'
'x,-y,-z'
'-x,y,z'
'-x,y,-z'
'x,-y,z'
loop_
_atom_site_label
_atom_site_type_symbol
_atom_site_fract_x
_atom_site_fract_y
_atom_site_fract_z
Y1 Y 0.0000 0.0000 0.0000
Tc1 Tc 0.5000 0.5000 0.2913
Se1 Se 0.0000 0.0000 0.5000
```

[2]
VASP calculation (PBE) on a relaxed YTcSe4 crystal.

Values from the calculation:
Energy relative to the elements, uncorrected ... 0.52 eV per atom
D(E_F) ... 0.99 states/eV per atom
Energy ... -110.648 eV/cell
Mass density ... 6.4 g/cm³

CIF file:
```
data_YTcSe4
_symmetry_space_group_name_H-M 'F -4 3 m'
_symmetry_Int_Tables_number 216
_symmetry_space_group_name_Hall 'F -4 2 3'
_cell_length_a 8.0450
_cell_length_b 8.0450
_cell_length_c 8.0450
_cell_angle_alpha 90.00
_cell_angle_beta 90.00
_cell_angle_gamma 90.00
loop_
_atom_site_label
_atom_site_type_symbol
_atom_site_fract_x
_atom_site_fract_y
_atom_site_fract_z
Y1 Y 0.0000 0.0000 0.0000
Tc1 Tc 0.2500 0.2500 0.2500
Se1 Se 0.1245 0.1245 0.6245
```